a | # PmNbPd2

Crystalline PmNbPd2 at its relaxed geometry (GGA-PBE, Alexandria via LeMat-Bulk).

Output
ρ	9.36	g/cm³
total magnetization	0.00	μB/f.u.
calculated volume	80.0	Å³ per cell

a b c (Å): 3.343 3.343 7.155
angles (deg): 90.00 90.00 90.00
Space group P4/mmm (No. 123)
Inequivalent atoms, fractional coordinates:
Pm  0.000  0.000  0.000 x1
Nb  0.000  0.000  0.500 x1
Pd  0.500  0.500  0.296 x2

***

b | # PmNbPd2

Crystalline PmNbPd2 at its relaxed geometry (GGA-PBE, Alexandria via LeMat-Bulk).

Output
ρ	9.49	g/cm³
total magnetization	0.00	μB/f.u.
calculated volume	236.7	Å³ per cell

a b c (Å): 3.1250 3.1250 27.9883
angles (deg): 90.00 90.00 120.00
Space group R-3m (No. 166, hexagonal axes)
Inequivalent atoms, fractional coordinates:
Pm  0.0000  0.0000  0.0000 x3
Nb  0.0000  0.0000  0.5000 x3
Pd  0.0000  0.0000  0.2419 x6

***

Most stable structure: a

***

a | # NbPd4Pt2

Crystalline NbPd4Pt2 at its relaxed geometry (GGA-PBE, Alexandria via LeMat-Bulk).

Output
ρ	13.27	g/cm³
total magnetization	0.00	μB/f.u.
calculated volume	227.4	Å³ per cell

a b c (Å): 6.891 5.092 7.317
angles (deg): 90.00 117.68 90.00
Space group P2_1/m (No. 11)
Inequivalent atoms, fractional coordinates:
Nb  0.037  0.250  0.300 x2
Pd  0.243  0.250  0.701 x2
Pd  0.381  0.002  0.272 x4
Pd  0.383  0.750  0.925 x2
Pt  0.029  0.250  0.932 x2
Pt  0.210  0.750  0.504 x2

***

b | # NbPd4Pt2

Crystalline NbPd4Pt2 at its relaxed geometry (GGA-PBE, Alexandria via LeMat-Bulk).

Output
ρ	10.24	g/cm³
total magnetization	0.00	μB/f.u.
calculated volume	294.8	Å³ per cell

a b c (Å): 4.803 4.803 12.780
angles (deg): 90.00 90.00 90.00
Space group I4/mmm (No. 139)
Inequivalent atoms, fractional coordinates:
Nb  0.000  0.000  0.000 x2
Pd  0.000  0.000  0.188 x4
Pd  0.000  0.500  0.000 x4
Pt  0.000  0.000  0.393 x4

***

Most stable structure: a

***

a | # Nb2Pd2Pt

Crystalline Nb2Pd2Pt at its relaxed geometry (GGA-PBE, Alexandria via LeMat-Bulk).

Output
ρ	11.70	g/cm³
total magnetization	0.00	μB/f.u.
calculated volume	168.5	Å³ per cell

a b c (Å): 7.615 7.615 2.906
angles (deg): 90.00 90.00 90.00
Space group P4/mbm (No. 127)
Inequivalent atoms, fractional coordinates:
Nb  0.175  0.325  0.000 x4
Pd  0.124  0.624  0.500 x4
Pt  0.000  0.000  0.500 x2

***

b | # Nb2Pd2Pt

Crystalline Nb2Pd2Pt at its relaxed geometry (GGA-PBE, Alexandria via LeMat-Bulk).

Output
ρ	11.32	g/cm³
total magnetization	0.00	μB/f.u.
calculated volume	174.2	Å³ per cell

a b c (Å): 7.832 7.832 2.839
angles (deg): 90.00 90.00 90.00
Space group P4/mbm (No. 127)
Inequivalent atoms, fractional coordinates:
Nb  0.171  0.329  0.000 x4
Pd  0.125  0.625  0.500 x4
Pt  0.000  0.000  0.000 x2

***

c | # Nb2Pd2Pt

Crystalline Nb2Pd2Pt at its relaxed geometry (GGA-PBE, Alexandria via LeMat-Bulk).

Output
ρ	12.15	g/cm³
total magnetization	0.00	μB/f.u.
calculated volume	162.3	Å³ per cell

a b c (Å): 2.828 4.015 14.292
angles (deg): 90.00 90.00 90.00
Space group Immm (No. 71)
Inequivalent atoms, fractional coordinates:
Nb  0.000  0.000  0.105 x4
Pd  0.000  0.000  0.300 x4
Pt  0.000  0.000  0.500 x2

***

d | # Nb2Pd2Pt

Crystalline Nb2Pd2Pt at its relaxed geometry (GGA-PBE, Alexandria via LeMat-Bulk).

Output
ρ	10.98	g/cm³
total magnetization	0.66	μB/f.u.
calculated volume	179.6	Å³ per cell

a b c (Å): 3.690 3.690 13.194
angles (deg): 90.00 90.00 90.00
Space group I4/mmm (No. 139)
Inequivalent atoms, fractional coordinates:
Nb  0.000  0.000  0.094 x4
Pd  0.000  0.500  0.250 x4
Pt  0.000  0.000  0.500 x2

***

Most stable structure: c

***

a | # NbPd3Pt3

Crystalline NbPd3Pt3 at its relaxed geometry (GGA-PBE, Alexandria via LeMat-Bulk).

Output
ρ	14.12	g/cm³
total magnetization	0.00	μB/f.u.
calculated volume	469.3	Å³ per cell

a b c (Å): 7.771 7.771 7.771
angles (deg): 90.00 90.00 90.00
Space group P2_13 (No. 198)
Inequivalent atoms, fractional coordinates:
Nb  0.098  0.402  0.598 x4
Pd  0.058  0.558  0.942 x4
Pd  0.111  0.111  0.111 x4
Pd  0.199  0.801  0.301 x4
Pt  0.073  0.747  0.642 x12

***

b | # NbPd3Pt3

Crystalline NbPd3Pt3 at its relaxed geometry (GGA-PBE, Alexandria via LeMat-Bulk).

Output
ρ	13.51	g/cm³
total magnetization	0.00	μB/f.u.
calculated volume	245.2	Å³ per cell

a b c (Å): 10.1317 10.1317 2.7588
angles (deg): 90.00 90.00 120.00
Space group P6_3/m (No. 176)
Inequivalent atoms, fractional coordinates:
Nb  0.3333  0.6667  0.2500 x2
Pd  0.0925  0.6304  0.7500 x6
Pt  0.0726  0.2605  0.7500 x6

***

Most stable structure: a

***

a | # NbPd2Pt2

Crystalline NbPd2Pt2 at its relaxed geometry (GGA-PBE, Alexandria via LeMat-Bulk).

Output
ρ	14.63	g/cm³
total magnetization	0.00	μB/f.u.
calculated volume	158.0	Å³ per cell

a b c (Å): 8.931 3.945 6.296
angles (deg): 90.00 134.57 90.00
Space group C2/m (No. 12)
Inequivalent atoms, fractional coordinates:
Nb  0.000  0.000  0.000 x2
Pd  0.201  0.000  0.599 x4
Pt  0.101  0.500  0.806 x4

***

b | # NbPd2Pt2

Crystalline NbPd2Pt2 at its relaxed geometry (GGA-PBE, Alexandria via LeMat-Bulk).

Output
ρ	13.16	g/cm³
total magnetization	0.00	μB/f.u.
calculated volume	175.6	Å³ per cell

a b c (Å): 5.147 5.144 6.632
angles (deg): 90.00 90.87 90.00
Space group C2/m (No. 12)
Inequivalent atoms, fractional coordinates:
Nb  0.000  0.000  0.000 x2
Pd  0.006  0.500  0.809 x4
Pt  0.250  0.250  0.500 x4

***

c | # NbPd2Pt2

Crystalline NbPd2Pt2 at its relaxed geometry (GGA-PBE, Alexandria via LeMat-Bulk).

Output
ρ	13.57	g/cm³
total magnetization	0.00	μB/f.u.
calculated volume	170.3	Å³ per cell

a b c (Å): 6.794 6.794 3.689
angles (deg): 90.00 90.00 90.00
Space group P4/mbm (No. 127)
Inequivalent atoms, fractional coordinates:
Nb  0.000  0.000  0.000 x2
Pd  0.160  0.340  0.500 x4
Pt  0.138  0.638  0.000 x4

***

Most stable structure: a

***

a | # NbPdPt6

Crystalline NbPdPt6 at its relaxed geometry (GGA-PBE, Alexandria via LeMat-Bulk).

Output
ρ	15.33	g/cm³
total magnetization	0.00	μB/f.u.
calculated volume	445.1	Å³ per cell

a b c (Å): 7.1717 7.1717 9.9936
angles (deg): 90.00 90.00 120.00
Space group R-3m (No. 166, hexagonal axes)
Inequivalent atoms, fractional coordinates:
Nb  0.0000  0.0000  0.0000 x3
Pd  0.0000  0.0000  0.5000 x3
Pt  0.0829  0.5414  0.3784 x18

***

b | # NbPdPt6

Crystalline NbPdPt6 at its relaxed geometry (GGA-PBE, Alexandria via LeMat-Bulk).

Output
ρ	18.02	g/cm³
total magnetization	0.00	μB/f.u.
calculated volume	504.8	Å³ per cell

a b c (Å): 5.633 7.953 11.268
angles (deg): 90.00 90.00 90.00
Space group Fmmm (No. 69)
Inequivalent atoms, fractional coordinates:
Nb  0.000  0.000  0.000 x4
Pd  0.000  0.000  0.500 x4
Pt  0.000  0.000  0.248 x8
Pt  0.250  0.250  0.124 x16

***

Most stable structure: b

***

a | # NbPd3Pt2

Crystalline NbPd3Pt2 at its relaxed geometry (GGA-PBE, Alexandria via LeMat-Bulk).

Output
ρ	13.87	g/cm³
total magnetization	0.00	μB/f.u.
calculated volume	384.1	Å³ per cell

a b c (Å): 7.286 7.738 6.928
angles (deg): 90.00 100.42 90.00
Space group C2/c (No. 15)
Inequivalent atoms, fractional coordinates:
Nb  0.000  0.088  0.250 x4
Pd  0.000  0.421  0.250 x4
Pd  0.246  0.081  0.995 x8
Pt  0.120  0.239  0.619 x8

***

b | # NbPd3Pt2

Crystalline NbPd3Pt2 at its relaxed geometry (GGA-PBE, Alexandria via LeMat-Bulk).

Output
ρ	13.83	g/cm³
total magnetization	0.00	μB/f.u.
calculated volume	385.3	Å³ per cell

a b c (Å): 8.813 2.800 15.613
angles (deg): 90.00 90.00 90.00
Space group Pnma (No. 62)
Inequivalent atoms, fractional coordinates:
Nb  0.207  0.250  0.162 x4
Pd  0.013  0.750  0.581 x4
Pd  0.033  0.250  0.918 x4
Pd  0.247  0.250  0.326 x4
Pt  0.017  0.250  0.737 x4
Pt  0.250  0.250  0.514 x4

***

Most stable structure: a

***

a | # NbPd2Pt5

Crystalline NbPd2Pt5 at its relaxed geometry (GGA-PBE, Alexandria via LeMat-Bulk).

Output
ρ	16.27	g/cm³
total magnetization	0.00	μB/f.u.
calculated volume	523.2	Å³ per cell

a b c (Å): 6.887 6.887 11.031
angles (deg): 90.00 90.00 90.00
Space group I4/mcm (No. 140)
Inequivalent atoms, fractional coordinates:
Nb  0.000  0.000  0.250 x4
Pd  0.145  0.355  0.000 x8
Pt  0.000  0.000  0.000 x4
Pt  0.150  0.350  0.333 x16

***

b | # NbPd2Pt5

Crystalline NbPd2Pt5 at its relaxed geometry (GGA-PBE, Alexandria via LeMat-Bulk).

Output
ρ	16.83	g/cm³
total magnetization	0.00	μB/f.u.
calculated volume	252.8	Å³ per cell

a b c (Å): 4.007 4.007 15.745
angles (deg): 90.00 90.00 90.00
Space group I4/mmm (No. 139)
Inequivalent atoms, fractional coordinates:
Nb  0.000  0.000  0.000 x2
Pd  0.000  0.000  0.253 x4
Pt  0.000  0.000  0.500 x2
Pt  0.000  0.500  0.122 x8

***

Most stable structure: b

***

a | # NbPd2Pt3

Crystalline NbPd2Pt3 at its relaxed geometry (GGA-PBE, Alexandria via LeMat-Bulk).

Output
ρ	15.21	g/cm³
total magnetization	0.00	μB/f.u.
calculated volume	389.1	Å³ per cell

a b c (Å): 5.537 13.781 5.099
angles (deg): 90.00 90.00 90.00
Space group Cmcm (No. 63)
Inequivalent atoms, fractional coordinates:
Nb  0.000  0.153  0.250 x4
Pd  0.249  0.000  0.000 x8
Pt  0.000  0.348  0.750 x4
Pt  0.247  0.177  0.750 x8

***

b | # NbPd2Pt3

Crystalline NbPd2Pt3 at its relaxed geometry (GGA-PBE, Alexandria via LeMat-Bulk).

Output
ρ	15.67	g/cm³
total magnetization	0.00	μB/f.u.
calculated volume	188.8	Å³ per cell

a b c (Å): 5.640 3.956 8.463
angles (deg): 90.00 90.36 90.00
Space group P2_1/m (No. 11)
Inequivalent atoms, fractional coordinates:
Nb  0.130  0.250  0.254 x2
Pd  0.125  0.250  0.919 x2
Pd  0.376  0.750  0.412 x2
Pt  0.120  0.250  0.586 x2
Pt  0.368  0.750  0.752 x2
Pt  0.369  0.750  0.091 x2

***

Most stable structure: b